Computed, not measured: crystalline LiBi2I2O2 at its relaxed geometry at the PBE level of DFT.

Calculated values
ΔE to the lowest computed polymorph = 0.0000 eV per atom
Calculated volume = 179 Å³/f.u.
ΔE_f (raw) = -0.92 eV per atom
Total moment = 0.000 μB per formula unit
Final energy = -29.2 eV per formula unit
Mass density = 6599 kg/m3

CIF file:
```
data_LiBi2I2O2
_chemical_formula_sum 'Li1 Bi2 I2 O2'
_symmetry_space_group_name_H-M 'P -4 m 2'
_symmetry_Int_Tables_number 115
_symmetry_space_group_name_Hall 'P -4 -2'
_cell_length_a 4.224
_cell_length_b 4.224
_cell_length_c 10.023
_cell_angle_alpha 90.00
_cell_angle_beta 90.00
_cell_angle_gamma 90.00
loop_
_atom_site_label
_atom_site_type_symbol
_atom_site_fract_x
_atom_site_fract_y
_atom_site_fract_z
_atom_site_occupancy
Li1 Li 0.000 0.000 0.000 1
Bi1 Bi 0.000 0.500 0.609 1
I1 I 0.000 0.500 0.178 1
O1 O 0.000 0.000 0.500 1
O2 O 0.500 0.500 0.500 1
```



Computed, not measured: crystalline LiBiIO2 at its relaxed geometry at the PBE level of DFT.

Calculated values
ΔE to the lowest computed polymorph = 0.0000 eV per atom
Calculated volume = 123 Å³/f.u.
ΔE_f (raw) = -0.71 eV per atom
Total moment = 0.000 μB per formula unit
Final energy = -20.8 eV per formula unit
Mass density = 5059 kg/m3

CIF file:
```
data_LiBiIO2
_chemical_formula_sum 'Li1 Bi1 I1 O2'
_symmetry_space_group_name_H-M 'P 4/m m m'
_symmetry_Int_Tables_number 123
_symmetry_space_group_name_Hall '-P 4 2'
_cell_length_a 4.270
_cell_length_b 4.270
_cell_length_c 6.748
_cell_angle_alpha 90.00
_cell_angle_beta 90.00
_cell_angle_gamma 90.00
loop_
_atom_site_label
_atom_site_type_symbol
_atom_site_fract_x
_atom_site_fract_y
_atom_site_fract_z
_atom_site_occupancy
Li1 Li 0.000 0.000 0.000 1
Bi1 Bi 0.500 0.500 0.500 1
I1 I 0.500 0.500 0.000 1
O1 O 0.000 0.500 0.500 1
```



Computed, not measured: crystalline LiBi2I2O2 at its relaxed geometry at the PBE level of DFT.

Calculated values
ΔE to the lowest computed polymorph = 0.1756 eV per atom
Calculated volume = 194 Å³/f.u.
ΔE_f (raw) = -0.75 eV per atom
Total moment = 0.000 μB per formula unit
Final energy = -27.9 eV per formula unit
Mass density = 6089 kg/m3

CIF file:
```
data_LiBi2I2O2
_chemical_formula_sum 'Li1 Bi2 I2 O2'
_symmetry_space_group_name_H-M 'P m m 2'
_symmetry_Int_Tables_number 25
_symmetry_space_group_name_Hall 'P 2 -2'
_cell_length_a 4.222
_cell_length_b 4.553
_cell_length_c 10.084
_cell_angle_alpha 90.00
_cell_angle_beta 90.00
_cell_angle_gamma 90.00
loop_
_atom_site_label
_atom_site_type_symbol
_atom_site_fract_x
_atom_site_fract_y
_atom_site_fract_z
_atom_site_occupancy
Li1 Li 0.000 0.000 0.000 1
Bi1 Bi 0.000 0.500 0.843 1
Bi2 Bi 0.500 0.000 0.648 1
I1 I 0.000 0.500 0.480 1
I2 I 0.500 0.000 0.134 1
O1 O 0.000 0.000 0.779 1
O2 O 0.500 0.500 0.751 1
```



Computed, not measured: crystalline LiBiI2O at its relaxed geometry at the PBE level of DFT.

Calculated values
ΔE to the lowest computed polymorph = 0.4035 eV per atom
Calculated volume = 119 Å³/f.u.
ΔE_f (raw) = -0.17 eV per atom
Total moment = 0.000 μB per formula unit
Final energy = -14.7 eV per formula unit
Mass density = 6760 kg/m3

CIF file:
```
data_LiBiI2O
_chemical_formula_sum 'Li1 Bi1 I2 O1'
_symmetry_space_group_name_H-M 'P 4/m m m'
_symmetry_Int_Tables_number 123
_symmetry_space_group_name_Hall '-P 4 2'
_cell_length_a 5.597
_cell_length_b 5.597
_cell_length_c 3.809
_cell_angle_alpha 90.00
_cell_angle_beta 90.00
_cell_angle_gamma 90.00
loop_
_atom_site_label
_atom_site_type_symbol
_atom_site_fract_x
_atom_site_fract_y
_atom_site_fract_z
_atom_site_occupancy
Li1 Li 0.000 0.000 0.000 1
Bi1 Bi 0.500 0.500 0.500 1
I1 I 0.000 0.500 0.000 1
O1 O 0.000 0.000 0.500 1
```



Computed, not measured: crystalline Li2BiIO8 at its relaxed geometry at the PBE level of DFT.

Calculated values
Calculated volume = 149 Å³/f.u.
ΔE_f (raw) = -0.61 eV per atom
Total moment = 2.035 μB per formula unit
Final energy = -56.3 eV per formula unit
Mass density = 5313 kg/m3

CIF file:
```
data_Li2BiIO8
_chemical_formula_sum 'Li2 Bi1 I1 O8'
_symmetry_space_group_name_H-M 'P 1 2/m 1'
_symmetry_Int_Tables_number 10
_symmetry_space_group_name_Hall '-P 2y'
_cell_length_a 4.794
_cell_length_b 6.509
_cell_length_c 4.794
_cell_angle_alpha 90.00
_cell_angle_beta 93.44
_cell_angle_gamma 90.00
loop_
_atom_site_label
_atom_site_type_symbol
_atom_site_fract_x
_atom_site_fract_y
_atom_site_fract_z
_atom_site_occupancy
Li1 Li 0.000 0.241 0.000 1
Bi1 Bi 0.500 0.500 0.500 1
I1 I 0.500 0.000 0.500 1
O1 O 0.190 0.500 0.192 1
O2 O 0.217 0.000 0.219 1
O3 O 0.312 0.215 0.690 1
```



Computed, not measured: crystalline LiBi2I2O2 at its relaxed geometry at the PBE level of DFT.

Calculated values
ΔE to the lowest computed polymorph = 0.1565 eV per atom
Calculated volume = 171 Å³/f.u.
ΔE_f (raw) = -0.77 eV per atom
Total moment = 0.000 μB per formula unit
Final energy = -28.1 eV per formula unit
Mass density = 6907 kg/m3

CIF file:
```
data_LiBi2I2O2
_chemical_formula_sum 'Li1 Bi2 I2 O2'
_symmetry_space_group_name_H-M 'P 4 m m'
_symmetry_Int_Tables_number 99
_symmetry_space_group_name_Hall 'P 4 -2'
_cell_length_a 4.102
_cell_length_b 4.102
_cell_length_c 10.157
_cell_angle_alpha 90.00
_cell_angle_beta 90.00
_cell_angle_gamma 90.00
loop_
_atom_site_label
_atom_site_type_symbol
_atom_site_fract_x
_atom_site_fract_y
_atom_site_fract_z
_atom_site_occupancy
Li1 Li 0.000 0.000 0.000 1
Bi1 Bi 0.000 0.000 0.745 1
Bi2 Bi 0.500 0.500 0.052 1
I1 I 0.000 0.000 0.261 1
I2 I 0.500 0.500 0.602 1
O1 O 0.000 0.500 0.943 1
```



Computed, not measured: crystalline LiBiI2O6 at its relaxed geometry at the PBE level of DFT.

Calculated values
Calculated volume = 168 Å³/f.u.
ΔE_f (raw) = -0.68 eV per atom
Total moment = 0.000 μB per formula unit
Final energy = -45.5 eV per formula unit
Mass density = 5578 kg/m3

CIF file:
```
data_LiBiI2O6
_chemical_formula_sum 'Li4 Bi4 I8 O24'
_symmetry_space_group_name_H-M 'C 1 2/c 1'
_symmetry_Int_Tables_number 15
_symmetry_space_group_name_Hall '-C 2yc'
_cell_length_a 13.620
_cell_length_b 8.513
_cell_length_c 6.232
_cell_angle_alpha 90.00
_cell_angle_beta 111.21
_cell_angle_gamma 90.00
loop_
_atom_site_label
_atom_site_type_symbol
_atom_site_fract_x
_atom_site_fract_y
_atom_site_fract_z
_atom_site_occupancy
Li1 Li 0.000 0.241 0.250 1
Bi1 Bi 0.000 0.391 0.750 1
I1 I 0.235 0.144 0.704 1
O1 O 0.090 0.201 0.578 1
O2 O 0.091 0.406 0.160 1
O3 O 0.214 0.064 0.108 1
```



Computed, not measured: crystalline LiBiIO2 at its relaxed geometry at the PBE level of DFT.

Calculated values
ΔE to the lowest computed polymorph = 0.7840 eV per atom
Calculated volume = 88 Å³/f.u.
ΔE_f (raw) = 0.07 eV per atom
Total moment = 0.159 μB per formula unit
Final energy = -16.9 eV per formula unit
Mass density = 7088 kg/m3

CIF file:
```
data_LiBiIO2
_chemical_formula_sum 'Li1 Bi1 I1 O2'
_symmetry_space_group_name_H-M 'P 4/m m m'
_symmetry_Int_Tables_number 123
_symmetry_space_group_name_Hall '-P 4 2'
_cell_length_a 4.327
_cell_length_b 4.327
_cell_length_c 4.690
_cell_angle_alpha 90.00
_cell_angle_beta 90.00
_cell_angle_gamma 90.00
loop_
_atom_site_label
_atom_site_type_symbol
_atom_site_fract_x
_atom_site_fract_y
_atom_site_fract_z
_atom_site_occupancy
Li1 Li 0.000 0.000 0.000 1
Bi1 Bi 0.500 0.500 0.500 1
I1 I 0.000 0.000 0.500 1
O1 O 0.000 0.500 0.000 1
```



Computed, not measured: crystalline LiBiOsI2 at its relaxed geometry at the PBE level of DFT.

Calculated values
Calculated volume = 171 Å³/f.u.
ΔE_f (raw) = 0.45 eV per atom
Total moment = 0.000 μB per formula unit
Final energy = -17.9 eV per formula unit
Mass density = 6420 kg/m3

CIF file:
```
data_LiBiOsI2
_chemical_formula_sum 'Li1 Bi1 Os1 I2'
_symmetry_space_group_name_H-M 'P 4/m m m'
_symmetry_Int_Tables_number 123
_symmetry_space_group_name_Hall '-P 4 2'
_cell_length_a 5.780
_cell_length_b 5.780
_cell_length_c 5.111
_cell_angle_alpha 90.00
_cell_angle_beta 90.00
_cell_angle_gamma 90.00
loop_
_atom_site_label
_atom_site_type_symbol
_atom_site_fract_x
_atom_site_fract_y
_atom_site_fract_z
_atom_site_occupancy
Li1 Li 0.000 0.000 0.000 1
Bi1 Bi 0.500 0.500 0.000 1
Os1 Os 0.500 0.500 0.500 1
I1 I 0.000 0.500 0.500 1
```



Computed, not measured: crystalline RbLi2BiI6 at its relaxed geometry at the PBE level of DFT.

Calculated values
Calculated volume = 448 Å³/f.u.
ΔE_f (raw) = -0.96 eV per atom
Total moment = 0.000 μB per formula unit
Final energy = -27.6 eV per formula unit
Mass density = 3964 kg/m3

CIF file:
```
data_RbLi2BiI6
_chemical_formula_sum 'Rb3 Li6 Bi3 I18'
_symmetry_space_group_name_H-M 'R -3'
_symmetry_Int_Tables_number 148
_symmetry_space_group_name_Hall '-R 3'
_cell_length_a 7.6038
_cell_length_b 7.6038
_cell_length_c 26.8467
_cell_angle_alpha 90.00
_cell_angle_beta 90.00
_cell_angle_gamma 120.00
loop_
_atom_site_label
_atom_site_type_symbol
_atom_site_fract_x
_atom_site_fract_y
_atom_site_fract_z
_atom_site_occupancy
Rb1 Rb 0.0000 0.0000 0.0000 1
Li1 Li 0.0000 0.0000 0.1680 1
Bi1 Bi 0.0000 0.0000 0.5000 1
I1 I 0.0040 0.6619 0.4360 1
```



Computed, not measured: crystalline LiReBi2I at its relaxed geometry at the PBE level of DFT.

Calculated values
Calculated volume = 172 Å³/f.u.
ΔE_f (raw) = 0.57 eV per atom
Total moment = 0.000 μB per formula unit
Final energy = -20.8 eV per formula unit
Mass density = 7144 kg/m3

CIF file:
```
data_LiReBi2I
_chemical_formula_sum 'Li1 Re1 Bi2 I1'
_symmetry_space_group_name_H-M 'P 4/m m m'
_symmetry_Int_Tables_number 123
_symmetry_space_group_name_Hall '-P 4 2'
_cell_length_a 5.250
_cell_length_b 5.250
_cell_length_c 6.223
_cell_angle_alpha 90.00
_cell_angle_beta 90.00
_cell_angle_gamma 90.00
loop_
_atom_site_label
_atom_site_type_symbol
_atom_site_fract_x
_atom_site_fract_y
_atom_site_fract_z
_atom_site_occupancy
Li1 Li 0.000 0.000 0.000 1
Re1 Re 0.500 0.500 0.500 1
Bi1 Bi 0.000 0.500 0.500 1
I1 I 0.500 0.500 0.000 1
```



Computed, not measured: crystalline LiBiSb2I at its relaxed geometry at the PBE level of DFT.

Calculated values
ΔE to the lowest computed polymorph = 0.0000 eV per atom
Calculated volume = 142 Å³/f.u.
ΔE_f (raw) = 0.28 eV per atom
Total moment = 0.000 μB per formula unit
Final energy = -14.2 eV per formula unit
Mass density = 6872 kg/m3

CIF file:
```
data_LiBiSb2I
_chemical_formula_sum 'Li1 Bi1 Sb2 I1'
_symmetry_space_group_name_H-M 'P 4/m m m'
_symmetry_Int_Tables_number 123
_symmetry_space_group_name_Hall '-P 4 2'
_cell_length_a 5.205
_cell_length_b 5.205
_cell_length_c 5.230
_cell_angle_alpha 90.00
_cell_angle_beta 90.00
_cell_angle_gamma 90.00
loop_
_atom_site_label
_atom_site_type_symbol
_atom_site_fract_x
_atom_site_fract_y
_atom_site_fract_z
_atom_site_occupancy
Li1 Li 0.000 0.000 0.000 1
Bi1 Bi 0.500 0.500 0.500 1
Sb1 Sb 0.000 0.500 0.000 1
I1 I 0.000 0.000 0.500 1
```



Computed, not measured: crystalline LiBiSb2I at its relaxed geometry at the PBE level of DFT.

Calculated values
ΔE to the lowest computed polymorph = 0.1460 eV per atom
Calculated volume = 222 Å³/f.u.
ΔE_f (raw) = 0.43 eV per atom
Total moment = 1.048 μB per formula unit
Final energy = -13.5 eV per formula unit
Mass density = 4381 kg/m3

CIF file:
```
data_LiBiSb2I
_chemical_formula_sum 'Li1 Bi1 Sb2 I1'
_symmetry_space_group_name_H-M 'P 4/m m m'
_symmetry_Int_Tables_number 123
_symmetry_space_group_name_Hall '-P 4 2'
_cell_length_a 5.859
_cell_length_b 5.859
_cell_length_c 6.475
_cell_angle_alpha 90.00
_cell_angle_beta 90.00
_cell_angle_gamma 90.00
loop_
_atom_site_label
_atom_site_type_symbol
_atom_site_fract_x
_atom_site_fract_y
_atom_site_fract_z
_atom_site_occupancy
Li1 Li 0.000 0.000 0.000 1
Bi1 Bi 0.500 0.500 0.500 1
Sb1 Sb 0.000 0.500 0.500 1
I1 I 0.500 0.500 0.000 1
```